# 1
Material: NaAlSi
Method: DFT, GGA-PBE
State: optimized geometry

The structure in CIF format:
```
data_NaAlSi
_chemical_formula_sum 'Na2 Al2 Si2'
_symmetry_space_group_name_H-M 'P 1 21/m 1'
_symmetry_Int_Tables_number 11
_symmetry_space_group_name_Hall '-P 2yb'
_cell_length_a 6.056
_cell_length_b 3.607
_cell_length_c 6.141
_cell_angle_alpha 90.00
_cell_angle_beta 90.82
_cell_angle_gamma 90.00
loop_
_atom_site_label
_atom_site_fract_x
_atom_site_fract_y
_atom_site_fract_z
Na1 0.248 0.250 0.423
Al1 0.161 0.750 0.930
Si1 0.473 0.250 0.863
```

formation energy from raw total energies	0.11	eV per atom
crystal system	monoclinic


# 2
Material: NaAl6Si2
Method: DFT, GGA-PBE
State: optimized geometry

The structure in CIF format:
```
data_NaAl6Si2
_chemical_formula_sum 'Na1 Al6 Si2'
_symmetry_space_group_name_H-M 'P 4/m m m'
_symmetry_Int_Tables_number 123
_symmetry_space_group_name_Hall '-P 4 2'
_cell_length_a 4.117
_cell_length_b 4.117
_cell_length_c 9.439
_cell_angle_alpha 90.00
_cell_angle_beta 90.00
_cell_angle_gamma 90.00
loop_
_atom_site_label
_atom_site_fract_x
_atom_site_fract_y
_atom_site_fract_z
Na1 0.000 0.000 0.000
Al1 0.000 0.000 0.500
Al2 0.000 0.500 0.292
Al3 0.500 0.500 0.500
Si1 0.500 0.500 0.127
```

formation energy from raw total energies	0.03	eV per atom
crystal system	tetragonal


# 3
Material: NaAl3Si3
Method: DFT, GGA-PBE
State: optimized geometry

The structure in CIF format:
```
data_NaAl3Si3
_chemical_formula_sum 'Na2 Al6 Si6'
_symmetry_space_group_name_H-M 'P m -3 n'
_symmetry_Int_Tables_number 223
_symmetry_space_group_name_Hall '-P 4n 2 3'
_cell_length_a 7.031
_cell_length_b 7.031
_cell_length_c 7.031
_cell_angle_alpha 90.00
_cell_angle_beta 90.00
_cell_angle_gamma 90.00
loop_
_atom_site_label
_atom_site_fract_x
_atom_site_fract_y
_atom_site_fract_z
Na1 0.000 0.000 0.000
Al1 0.000 0.250 0.500
Si1 0.000 0.500 0.250
```

formation energy from raw total energies	0.25	eV per atom
crystal system	cubic


# 4
Material: NaAlSi
Method: DFT, GGA-PBE
State: optimized geometry

The structure in CIF format:
```
data_NaAlSi
_chemical_formula_sum 'Na2 Al2 Si2'
_symmetry_space_group_name_H-M 'P m m n'
_symmetry_Int_Tables_number 59
_cell_length_a 4.107
_cell_length_b 4.167
_cell_length_c 7.348
_cell_angle_alpha 90.00
_cell_angle_beta 90.00
_cell_angle_gamma 90.00
loop_
_symmetry_equiv_pos_as_xyz
'x,y,z'
'-x,-y,-z'
'-x+1/2,-y+1/2,z'
'x+1/2,y+1/2,-z'
'x+1/2,-y,-z'
'-x+1/2,y,z'
'-x,y+1/2,-z'
'x,-y+1/2,z'
loop_
_atom_site_label
_atom_site_fract_x
_atom_site_fract_y
_atom_site_fract_z
Na1 0.250 0.250 0.137
Al1 0.250 0.750 0.503
Si1 0.250 0.250 0.709
```

formation energy from raw total energies	-0.10	eV per atom
crystal system	orthorhombic


# 5
Material: NaAlSi
Method: DFT, GGA-PBE
State: optimized geometry

The structure in CIF format:
```
data_NaAlSi
_chemical_formula_sum 'Na4 Al4 Si4'
_symmetry_space_group_name_H-M 'C m m m'
_symmetry_Int_Tables_number 65
_symmetry_space_group_name_Hall '-C 2 2'
_cell_length_a 3.134
_cell_length_b 29.878
_cell_length_c 2.799
_cell_angle_alpha 90.00
_cell_angle_beta 90.00
_cell_angle_gamma 90.00
loop_
_atom_site_label
_atom_site_fract_x
_atom_site_fract_y
_atom_site_fract_z
Na1 0.000 0.056 0.000
Al1 0.000 0.289 0.500
Si1 0.000 0.144 0.500
```

formation energy from raw total energies	0.35	eV per atom
crystal system	orthorhombic


# 6
Material: NaAlSi
Method: DFT, GGA-PBE
State: optimized geometry

The structure in CIF format:
```
data_NaAlSi
_chemical_formula_sum 'Na4 Al4 Si4'
_symmetry_space_group_name_H-M 'C m c m'
_symmetry_Int_Tables_number 63
_symmetry_space_group_name_Hall '-C 2c 2'
_cell_length_a 6.002
_cell_length_b 7.902
_cell_length_c 5.942
_cell_angle_alpha 90.00
_cell_angle_beta 90.00
_cell_angle_gamma 90.00
loop_
_atom_site_label
_atom_site_fract_x
_atom_site_fract_y
_atom_site_fract_z
Na1 0.000 0.130 0.250
Al1 0.000 0.500 0.000
Si1 0.000 0.260 0.750
```

formation energy from raw total energies	0.29	eV per atom
crystal system	orthorhombic


# 7
Material: NaAlSi
Method: DFT, GGA-PBE
State: optimized geometry

The structure in CIF format:
```
data_NaAlSi
_chemical_formula_sum 'Na4 Al4 Si4'
_symmetry_space_group_name_H-M 'C 1 2/m 1'
_symmetry_Int_Tables_number 12
_symmetry_space_group_name_Hall '-C 2y'
_cell_length_a 10.257
_cell_length_b 4.343
_cell_length_c 7.395
_cell_angle_alpha 90.00
_cell_angle_beta 132.98
_cell_angle_gamma 90.00
loop_
_atom_site_label
_atom_site_fract_x
_atom_site_fract_y
_atom_site_fract_z
Na1 0.080 0.000 0.333
Al1 0.168 0.500 0.078
Si1 0.148 0.500 0.709
```

formation energy from raw total energies	-0.02	eV per atom
crystal system	monoclinic


# 8
Material: NaAl2Si2
Method: DFT, GGA-PBE
State: optimized geometry

The structure in CIF format:
```
data_NaAl2Si2
_chemical_formula_sum 'Na2 Al4 Si4'
_symmetry_space_group_name_H-M 'P 4/m b m'
_symmetry_Int_Tables_number 127
_symmetry_space_group_name_Hall '-P 4 2ab'
_cell_length_a 7.710
_cell_length_b 7.710
_cell_length_c 3.000
_cell_angle_alpha 90.00
_cell_angle_beta 90.00
_cell_angle_gamma 90.00
loop_
_atom_site_label
_atom_site_fract_x
_atom_site_fract_y
_atom_site_fract_z
Na1 0.000 0.000 0.000
Al1 0.139 0.361 0.500
Si1 0.152 0.652 0.000
```

relative energy among the computed polymorphs	0.85	eV/f.u.
formation energy from raw total energies	0.15	eV per atom
crystal system	tetragonal


# 9
Material: NaAlSi
Method: DFT, GGA-PBE
State: optimized geometry

The structure in CIF format:
```
data_NaAlSi
_chemical_formula_sum 'Na4 Al4 Si4'
_symmetry_space_group_name_H-M 'C 1 m 1'
_symmetry_Int_Tables_number 8
_symmetry_space_group_name_Hall 'C -2y'
_cell_length_a 7.852
_cell_length_b 4.578
_cell_length_c 8.348
_cell_angle_alpha 90.00
_cell_angle_beta 116.07
_cell_angle_gamma 90.00
loop_
_atom_site_label
_atom_site_fract_x
_atom_site_fract_y
_atom_site_fract_z
Na1 0.000 0.000 0.000
Na2 0.048 0.500 0.742
Al1 0.180 0.000 0.410
Al2 0.284 0.500 0.240
Si1 0.278 0.500 0.552
Si2 0.461 0.000 0.281
```

formation energy from raw total energies	0.16	eV per atom
crystal system	monoclinic


# 10
Material: Na2TaAlSi
Method: DFT, GGA-PBE
State: optimized geometry

The structure in CIF format:
```
data_Na2TaAlSi
_chemical_formula_sum 'Na2 Ta1 Al1 Si1'
_symmetry_space_group_name_H-M 'P 4/m m m'
_symmetry_Int_Tables_number 123
_symmetry_space_group_name_Hall '-P 4 2'
_cell_length_a 5.268
_cell_length_b 5.268
_cell_length_c 4.691
_cell_angle_alpha 90.00
_cell_angle_beta 90.00
_cell_angle_gamma 90.00
loop_
_atom_site_label
_atom_site_fract_x
_atom_site_fract_y
_atom_site_fract_z
Na1 0.000 0.500 0.000
Ta1 0.000 0.000 0.500
Al1 0.500 0.500 0.500
Si1 0.500 0.500 0.000
```

formation energy from raw total energies	1.36	eV per atom
crystal system	tetragonal


# 11
Material: NaAlSiTe2
Method: DFT, GGA-PBE
State: optimized geometry

The structure in CIF format:
```
data_NaAlSiTe2
_chemical_formula_sum 'Na1 Al1 Si1 Te2'
_symmetry_space_group_name_H-M 'P 4/m m m'
_symmetry_Int_Tables_number 123
_symmetry_space_group_name_Hall '-P 4 2'
_cell_length_a 5.491
_cell_length_b 5.491
_cell_length_c 4.896
_cell_angle_alpha 90.00
_cell_angle_beta 90.00
_cell_angle_gamma 90.00
loop_
_atom_site_label
_atom_site_fract_x
_atom_site_fract_y
_atom_site_fract_z
Na1 0.000 0.000 0.000
Al1 0.500 0.500 0.000
Si1 0.500 0.500 0.500
Te1 0.000 0.500 0.500
```

formation energy from raw total energies	0.06	eV per atom
crystal system	tetragonal


# 12
Material: Na2AlSiTe4
Method: DFT, GGA-PBE
State: optimized geometry

The structure in CIF format:
```
data_Na2AlSiTe4
_chemical_formula_sum 'Na4 Al2 Si2 Te8'
_symmetry_space_group_name_H-M 'P m n 21'
_symmetry_Int_Tables_number 31
_symmetry_space_group_name_Hall 'P 2ac -2'
_cell_length_a 9.219
_cell_length_b 8.765
_cell_length_c 7.094
_cell_angle_alpha 90.00
_cell_angle_beta 90.00
_cell_angle_gamma 90.00
loop_
_atom_site_label
_atom_site_fract_x
_atom_site_fract_y
_atom_site_fract_z
Na1 0.246 0.161 0.000
Al1 0.000 0.356 0.525
Si1 0.000 0.664 0.019
Te1 0.000 0.387 0.897
Te2 0.000 0.634 0.383
Te3 0.239 0.198 0.443
```

formation energy from raw total energies	-0.43	eV per atom
crystal system	orthorhombic


# 13
Material: NaAlSi2Te6
Method: DFT, GGA-PBE
State: optimized geometry

The structure in CIF format:
```
data_NaAlSi2Te6
_chemical_formula_sum 'Na4 Al4 Si8 Te24'
_symmetry_space_group_name_H-M 'C 1 2/c 1'
_symmetry_Int_Tables_number 15
_symmetry_space_group_name_Hall '-C 2yc'
_cell_length_a 14.377
_cell_length_b 14.221
_cell_length_c 7.455
_cell_angle_alpha 90.00
_cell_angle_beta 111.96
_cell_angle_gamma 90.00
loop_
_atom_site_label
_atom_site_fract_x
_atom_site_fract_y
_atom_site_fract_z
Na1 0.000 0.135 0.250
Al1 0.000 0.211 0.750
Si1 0.200 0.425 0.201
Te1 0.109 0.070 0.679
Te2 0.131 0.436 0.475
Te3 0.135 0.260 0.090
```

formation energy from raw total energies	-0.19	eV per atom
crystal system	monoclinic